(1)
{"formula": "Y6Ag2N", "functional": "PBE-GGA", "state": "optimized geometry", "energy_ha_per_atom": -0.234, "total_magnetization_mub_per_atom": 0.0000, "formation_energy_uncorrected_ev_per_atom": -0.502, "lattice": [[-1.134, -1.180, -6.581], [-1.851, -6.521, 1.488], [-9.177, 2.838, 1.024]], "species": ["Y", "Y", "Y", "Y", "Y", "Y", "Y", "Y", "Y", "Y", "Y", "Y", "Ag", "Ag", "Ag", "Ag", "N", "N"], "frac_coords": [[0.096, 0.013, 0.257], [0.207, 0.277, 0.548], [0.221, 0.289, 0.951], [0.279, 0.789, 0.549], [0.293, 0.777, 0.952], [0.404, 0.513, 0.243], [0.904, 0.987, 0.743], [0.793, 0.723, 0.452], [0.779, 0.711, 0.049], [0.721, 0.211, 0.451], [0.707, 0.223, 0.048], [0.596, 0.487, 0.757], [0.019, 0.546, 0.749], [0.481, 0.046, 0.751], [0.519, 0.954, 0.249], [0.981, 0.454, 0.251], [0.500, 0.500, 0.000], [0.000, 0.000, 0.500]]}



(2)
{"formula": "YAgN2", "functional": "PBE-GGA", "state": "optimized geometry", "energy_ha_per_atom": -0.231, "total_magnetization_mub_per_atom": 0.0000, "formation_energy_uncorrected_ev_per_atom": 0.204, "lattice": [[-0.090, -2.021, 4.287], [3.588, -2.830, -1.259], [5.569, 1.549, 3.469]], "species": ["Y", "Y", "Ag", "Ag", "N", "N", "N", "N"], "frac_coords": [[0.500, 0.500, 0.000], [0.250, 0.750, 0.500], [0.000, 0.000, 0.000], [0.750, 0.250, 0.500], [0.644, 0.125, 0.250], [0.106, 0.625, 0.250], [0.375, 0.356, 0.750], [0.875, 0.894, 0.750]]}



(3)
{"formula": "YAg2N", "functional": "PBE-GGA", "state": "optimized geometry", "energy_ha_per_atom": -0.191, "total_magnetization_mub_per_atom": 0.0000, "formation_energy_uncorrected_ev_per_atom": -0.080, "lattice": [[3.608, 0.000, 0.000], [0.000, 3.608, 0.000], [1.804, 1.804, 11.545]], "species": ["Y", "Y", "Ag", "Ag", "Ag", "Ag", "N", "N"], "frac_coords": [[0.000, 0.000, 0.000], [0.750, 0.250, 0.500], [0.622, 0.125, 0.250], [0.128, 0.625, 0.250], [0.375, 0.378, 0.750], [0.875, 0.872, 0.750], [0.500, 0.500, 0.000], [0.250, 0.750, 0.500]]}